Here is crystalline TlV2ZnF at its relaxed geometry from the Alexandria database. Energies are from PBE+U.

a b c (Å): 5.027 5.250 5.027
angles (deg): 90.00 90.00 90.00
Site moments in Bohr magnetons follow the coordinates.
Fractional coordinates of all 5 atoms:
Tl  0.000  0.500  0.000  0.02
F  0.500  0.500  0.500  0.02
Zn  0.000  0.000  0.000  0.09
V  0.000  0.000  0.500  3.09
V  0.500  0.000  0.000  2.91

total DFT energy (no corrections): -16.585 eV per cell
volume: 26.5 A^3/atom